KNiSnO3: relaxed, GGA+U.

It has space group Cmcm (No. 63), with a = 5.687 Å, b = 13.875 Å, c = 5.526 Å, α = 90.00°, β = 90.00° and γ = 90.00°. Symmetry generates all atoms from K at (0.000, 0.244, 0.250), Ni at (0.000, 0.023, 0.750), Sn at (0.000, 0.439, 0.750), O at (0.000, 0.299, 0.750) and O at (0.236, 0.500, 0.000).



KTaNiO4: relaxed, GGA+U.

It has space group P2_1/m (No. 11), with a = 5.462 Å, b = 5.919 Å, c = 8.017 Å, α = 90.00°, β = 91.92° and γ = 90.00°. Symmetry generates all atoms from K at (0.184, 0.250, 0.450), Ta at (0.353, 0.750, 0.227), Ni at (0.086, 0.250, 0.979), O at (0.180, 0.504, 0.129), O at (0.297, 0.750, 0.451) and O at (0.310, 0.250, 0.794).



KTa2Ni2O7: relaxed, GGA+U.

It has space group Cm (No. 8), with a = 18.427 Å, b = 3.974 Å, c = 4.081 Å, α = 90.00°, β = 102.21° and γ = 90.00°. Symmetry generates all atoms from K at (0.000, 0.000, 0.000), Ta at (0.111, 0.500, 0.613), Ta at (0.387, 0.000, 0.404), Ni at (0.242, 0.500, 0.218), Ni at (0.275, 0.000, 0.747), O at (0.103, 0.000, 0.587), O at (0.119, 0.500, 0.100), O at (0.221, 0.500, 0.695), O at (0.271, 0.000, 0.245), O at (0.376, 0.500, 0.366), O at (0.394, 0.000, 0.885) and O at (0.497, 0.000, 0.484).



K2TcNi2O6: relaxed, GGA+U.

It has space group C2/m (No. 12), with a = 5.332 Å, b = 9.147 Å, c = 6.458 Å, α = 90.00°, β = 107.44° and γ = 90.00°. Symmetry generates all atoms from K at (0.000, 0.172, 0.000), Tc at (0.000, 0.000, 0.500), Ni at (0.000, 0.335, 0.500), O at (0.216, 0.156, 0.671) and O at (0.249, 0.000, 0.330).



K2NiTeO4: relaxed, GGA+U.

It has space group C2 (No. 5), with a = 7.841 Å, b = 7.227 Å, c = 5.885 Å, α = 90.00°, β = 127.68° and γ = 90.00°. Symmetry generates all atoms from K at (0.000, 0.000, 0.000), K at (0.000, 0.263, 0.500), Ni at (0.000, 0.476, 0.000), Te at (0.000, 0.772, 0.500), O at (0.128, 0.598, 0.394) and O at (0.224, 0.301, 0.077).



KNiTe2O8: relaxed, GGA+U.

It has space group P-3 (No. 147), with a = 5.5597 Å, b = 5.5597 Å, c = 6.8165 Å, α = 90.00°, β = 90.00° and γ = 120.00°. Symmetry generates all atoms from K at (0.0000, 0.0000, 0.0000), Ni at (0.0000, 0.0000, 0.5000), Te at (0.3333, 0.6667, 0.4399), O at (0.0640, 0.3665, 0.6225) and O at (0.3333, 0.6667, 0.1657).



K3NiTe2O9: relaxed, GGA+U.

It has space group P-3m1 (No. 164), with a = 5.7001 Å, b = 5.7001 Å, c = 7.0241 Å, α = 90.00°, β = 90.00° and γ = 120.00°. Symmetry generates all atoms from K at (0.0000, 0.0000, 0.0000), K at (0.3333, 0.6667, 0.6590), Ni at (0.0000, 0.0000, 0.5000), Te at (0.3333, 0.6667, 0.1752), O at (0.0000, 0.5000, 0.0000) and O at (0.1714, 0.3428, 0.3205).



KNiTeO6: relaxed, GGA+U.

It has space group P312 (No. 149), with a = 5.0528 Å, b = 5.0528 Å, c = 6.1507 Å, α = 90.00°, β = 90.00° and γ = 120.00°. Symmetry generates all atoms from K at (0.0000, 0.0000, 0.0000), Ni at (0.3333, 0.6667, 0.5000), Te at (0.6667, 0.3333, 0.5000) and O at (0.0106, 0.3795, 0.6753).



K2NiTeO6: relaxed, GGA+U.

It has space group Fm-3m (No. 225), with a = 8.113 Å, b = 8.113 Å, c = 8.113 Å, α = 90.00°, β = 90.00° and γ = 90.00°. Symmetry generates all atoms from K at (0.250, 0.250, 0.250), Ni at (0.000, 0.000, 0.000), Te at (0.000, 0.000, 0.500) and O at (0.000, 0.000, 0.261).



K3Ni2TeO6: relaxed, GGA+U.

It has space group C2/m (No. 12), with a = 5.579 Å, b = 9.670 Å, c = 6.345 Å, α = 90.00°, β = 106.92° and γ = 90.00°. Symmetry generates all atoms from K at (0.000, 0.000, 0.000), K at (0.000, 0.327, 0.000), Ni at (0.000, 0.166, 0.500), Te at (0.000, 0.500, 0.500), O at (0.222, 0.337, 0.679) and O at (0.235, 0.000, 0.681).



K2UNiO6: relaxed, GGA+U.

It has space group Fm-3m (No. 225), with a = 8.200 Å, b = 8.200 Å, c = 8.200 Å, α = 90.00°, β = 90.00° and γ = 90.00°. Symmetry generates all atoms from K at (0.250, 0.250, 0.250), U at (0.000, 0.000, 0.000), Ni at (0.000, 0.000, 0.500) and O at (0.000, 0.000, 0.250).



K2U3NiO12: relaxed, GGA+U.

It has space group R-3m (No. 166, hexagonal axes), with a = 7.8298 Å, b = 7.8298 Å, c = 17.3975 Å, α = 90.00°, β = 90.00° and γ = 120.00°. Symmetry generates all atoms from K at (0.0000, 0.0000, 0.1393), U at (0.0000, 0.5000, 0.0000), Ni at (0.0000, 0.0000, 0.5000), O at (0.0788, 0.5394, 0.3685) and O at (0.1044, 0.5522, 0.1065).



Listing uncorrected energy for the structures above in their given order: -29.613 -49.755 -89.634 -61.724 -37.681 -59.146 -73.552 -43.854 -47.825 -55.825 -65.112 -141.985 eV/f.u..